# 1
A plane-wave DFT calculation with PBE was carried out for La2W after structural relaxation.

Cell lengths 8.858, 8.858, 5.472 Å; angles 90.00, 90.00, 156.69 degrees
Positions (direct):
La1 0.972 0.028 0.000
La2 0.472 0.528 0.500
La3 0.298 0.702 0.000
La4 0.646 0.354 0.000
W1 0.773 0.227 0.500
W2 0.172 0.828 0.500

Output
E above lowest polymorph in meV per atom: 180



# 2
A plane-wave DFT calculation with PBE was carried out for CsTl2VBr8 after structural relaxation.

Cell lengths 6.581, 7.794, 9.796 Å; angles 89.95, 90.04, 117.09 degrees
Last column: magnetic moment on the atom in μB.
Positions (direct):
V1 0.000 0.000 0.000  0.57
Br1 0.973 0.217 0.822  -0.03
Br2 0.383 0.688 0.500  -0.05
Br3 0.971 0.216 0.177  -0.03
Br4 0.582 0.808 0.999  -0.04
Br5 0.418 0.192 0.001  -0.04
Br6 0.617 0.312 0.500  -0.05
Br7 0.027 0.783 0.178  -0.03
Br8 0.029 0.784 0.823  -0.03
Tl1 0.501 0.500 0.743  -0.04
Tl2 0.499 0.500 0.257  -0.04
Cs1 0.000 0.000 0.500  0.00

Output
Formation energy from raw total energies in eV per atom: -0.88



# 3
A plane-wave DFT calculation with PBE was carried out for AlSb2TeBr after structural relaxation.

Cell lengths 5.387, 5.387, 5.258 Å; angles 90.00, 90.00, 90.00 degrees
Positions (direct):
Al1 0.000 0.000 0.000
Sb1 0.000 0.500 0.000
Sb2 0.500 0.000 0.000
Te1 0.000 0.000 0.500
Br1 0.500 0.500 0.500

Output
Formation energy from raw total energies in eV per atom: 0.35
E above lowest polymorph in meV per atom: 0



# 4
A plane-wave DFT calculation with PBE was carried out for As2OsSe after structural relaxation.

Cell lengths 8.886, 8.886, 8.886 Å; angles 20.22, 20.22, 20.22 degrees
Positions (direct):
As1 0.513 0.513 0.513
As2 0.987 0.987 0.987
Os1 0.250 0.250 0.250
Se1 0.750 0.750 0.750

Output
Formation energy from raw total energies in eV per atom: 0.29
E above lowest polymorph in meV per atom: 188



# 5
A plane-wave DFT calculation with PBE was carried out for Np2UTlS8 after structural relaxation.

Cell lengths 6.358, 6.166, 8.265 Å; angles 90.00, 90.00, 89.60 degrees
Last column: magnetic moment on the atom in μB.
Positions (direct):
S1 0.323 0.279 0.000  -0.11
S2 0.173 0.773 0.781  -0.08
S3 0.358 0.294 0.500  -0.15
S4 0.677 0.721 0.000  -0.11
S5 0.642 0.706 0.500  -0.15
S6 0.173 0.773 0.219  -0.08
S7 0.827 0.227 0.781  -0.08
S8 0.827 0.227 0.219  -0.08
Np1 0.500 0.500 0.752  3.02
Np2 0.500 0.500 0.248  3.02
Tl1 0.000 0.000 0.500  -0.03
U1 0.000 0.000 0.000  0.37

Output
Formation energy from raw total energies in eV per atom: -0.92



# 6
A plane-wave DFT calculation with PBE was carried out for GaMoAu2 after structural relaxation.

Cell lengths 3.810, 3.810, 10.370 Å; angles 79.41, 79.41, 90.00 degrees
Last column: magnetic moment on the atom in μB.
Positions (direct):
Mo1 0.750 0.250 0.500  0.38
Mo2 0.000 0.000 0.000  0.36
Ga1 0.500 0.500 0.000  -0.02
Ga2 0.250 0.750 0.500  -0.02
Au1 0.875 0.875 0.750  0.00
Au2 0.625 0.125 0.250  0.00
Au3 0.125 0.625 0.250  0.00
Au4 0.375 0.375 0.750  0.00

Output
Calculated total energy in eV per cell: -37.84



# 7
A plane-wave DFT calculation with PBE was carried out for Re2TeMo after structural relaxation.

Cell lengths 5.088, 5.088, 5.088 Å; angles 134.45, 134.45, 66.39 degrees
Positions (direct):
Re1 0.500 0.500 0.000
Re2 0.000 0.000 0.000
Te1 0.250 0.750 0.500
Mo1 0.750 0.250 0.500

Output
Formation energy from raw total energies in eV per atom: 0.76



# 8
A plane-wave DFT calculation with PBE was carried out for MgRh3C after structural relaxation.

Cell lengths 7.120, 7.120, 4.911 Å; angles 90.00, 90.00, 126.44 degrees
Last column: magnetic moment on the atom in μB.
Positions (direct):
Rh1 0.626 0.925 0.250  0.02
Rh2 0.075 0.374 0.250  0.02
Rh3 0.000 0.000 0.500  0.28
Rh4 0.000 0.000 0.000  0.28
Rh5 0.374 0.075 0.750  0.02
Rh6 0.925 0.626 0.750  0.02
C1 0.367 0.633 0.250  -0.01
C2 0.633 0.367 0.750  -0.01
Mg1 0.815 0.185 0.750  0.00
Mg2 0.185 0.815 0.250  0.00

Output
Calculated total energy in eV per cell: -59.38



# 9
A plane-wave DFT calculation with PBE was carried out for InBRhN2 after structural relaxation.

Cell lengths 3.817, 3.817, 4.714 Å; angles 90.00, 90.00, 90.00 degrees
Positions (direct):
In1 0.500 0.500 0.500
N1 0.500 0.000 0.000
N2 0.000 0.500 0.000
B1 0.000 0.000 0.500
Rh1 0.000 0.000 0.000

Output
Formation energy from raw total energies in eV per atom: 1.36



# 10
A plane-wave DFT calculation with PBE was carried out for KMoAs2 after structural relaxation.

Cell lengths 4.843, 4.843, 4.843 Å; angles 60.00, 60.00, 60.00 degrees
Last column: magnetic moment on the atom in μB.
Positions (direct):
As1 0.250 0.250 0.250  -0.12
As2 0.000 0.000 0.000  -0.11
Mo1 0.750 0.750 0.750  1.55
K1 0.500 0.500 0.500  0.03

Output
E above lowest polymorph in meV per atom: 1201



# 11
A plane-wave DFT calculation with PBE was carried out for Ba3ZnBi after structural relaxation.

Cell lengths 5.169, 10.259, 10.634 Å; angles 104.06, 73.49, 117.63 degrees
Positions (direct):
Zn1 0.569 0.590 0.110
Zn2 0.431 0.410 0.890
Ba1 0.038 0.391 0.633
Ba2 0.706 0.273 0.063
Ba3 0.841 0.976 0.301
Ba4 0.159 0.024 0.699
Ba5 0.294 0.727 0.937
Ba6 0.962 0.609 0.367
Bi1 0.508 0.225 0.414
Bi2 0.492 0.775 0.586

Output
E above lowest polymorph in meV per atom: 0



# 12
A plane-wave DFT calculation with PBE was carried out for ScTlZn after structural relaxation.

Cell lengths 4.605, 5.755, 5.755 Å; angles 72.77, 66.42, 66.41 degrees
Positions (direct):
Sc1 0.661 0.847 0.306
Sc2 0.658 0.350 0.809
Tl1 0.327 0.945 0.876
Tl2 0.327 0.417 0.404
Zn1 0.992 0.715 0.777
Zn2 0.992 0.318 0.174

Output
Calculated total energy in eV per cell: -21.11